(1)
Computed, not measured: a relaxed structure of Ti3NbCr2P6O24 at the PBE with a Hubbard U level of DFT.

Cell and atoms, written as CIF:
```
data_Ti3NbCr2P6O24
_cell_length_a 8.7285
_cell_length_b 8.7285
_cell_length_c 21.6536
_cell_angle_alpha 90.00
_cell_angle_beta 90.00
_cell_angle_gamma 120.00
_space_group_name_H-M_alt 'R 3'
_space_group_IT_number 146
_space_group_name_Hall 'R 3'
loop_
_atom_site_label
_atom_site_fract_x
_atom_site_fract_y
_atom_site_fract_z
Ti1 0.0000 0.0000 0.0000
Ti2 0.0000 0.0000 0.2125
Ti3 0.0000 0.0000 0.7103
Nb1 0.0000 0.0000 0.4971
Cr1 0.0000 0.0000 0.3538
Cr2 0.0000 0.0000 0.8555
P1 0.0018 0.2936 0.6060
P2 0.0509 0.6749 0.7725
O1 0.0012 0.8128 0.0472
O2 0.0092 0.1977 0.5466
O3 0.0228 0.1901 0.2727
O4 0.0281 0.8397 0.7733
O5 0.1468 0.4749 0.3300
O6 0.1496 0.6773 0.8314
O7 0.1603 0.6889 0.1043
O8 0.1690 0.4795 0.6046
```

Output
The energy comes out at -7.908 eV per atom. For the density of states at the Fermi level, the calculation gives 0.36 states/eV per atom.


(2)
Computed, not measured: a relaxed structure of PaNbCr2O8 at the PBE with a Hubbard U level of DFT.

Cell and atoms, written as CIF:
```
data_PaNbCr2O8
_cell_length_a 6.6883
_cell_length_b 6.6883
_cell_length_c 6.8278
_cell_angle_alpha 90.00
_cell_angle_beta 90.00
_cell_angle_gamma 90.00
_space_group_name_H-M_alt 'I -4 m 2'
_space_group_IT_number 119
_space_group_name_Hall 'I -4 -2'
loop_
_atom_site_label
_atom_site_fract_x
_atom_site_fract_y
_atom_site_fract_z
Pa1 0.0000 0.0000 0.0000
Nb1 0.0000 0.5000 0.2500
Cr1 0.0000 0.0000 0.5000
Cr2 0.0000 0.5000 0.7500
O1 0.0000 0.1963 0.3008
O2 0.0000 0.3233 0.9662
```

Output
The energy comes out at -8.554 eV per atom.


(3)
Computed, not measured: a relaxed structure of PaNbCrO6 at the PBE with a Hubbard U level of DFT.

Cell and atoms, written as CIF:
```
data_PaNbCrO6
_cell_length_a 5.5483
_cell_length_b 5.5483
_cell_length_c 8.8794
_cell_angle_alpha 90.00
_cell_angle_beta 90.00
_cell_angle_gamma 120.00
_space_group_name_H-M_alt 'P -3 1 c'
_space_group_IT_number 163
_space_group_name_Hall '-P 3 2c'
loop_
_atom_site_label
_atom_site_fract_x
_atom_site_fract_y
_atom_site_fract_z
Pa1 0.3333 0.6667 0.2500
Nb1 0.3333 0.6667 0.7500
Cr1 0.0000 0.0000 0.0000
O1 0.0214 0.3524 0.6304
```

Output
The energy comes out at -8.915 eV per atom. For the density of states at the Fermi level, the calculation gives 0.33 states/eV per atom.


(4)
Computed, not measured: a relaxed structure of Nb2CrPbO8 at the PBE with a Hubbard U level of DFT.

Cell and atoms, written as CIF:
```
data_Nb2CrPbO8
_cell_length_a 5.2758
_cell_length_b 5.2758
_cell_length_c 6.6514
_cell_angle_alpha 90.00
_cell_angle_beta 90.00
_cell_angle_gamma 120.00
_space_group_name_H-M_alt 'P -3'
_space_group_IT_number 147
_space_group_name_Hall '-P 3'
loop_
_atom_site_label
_atom_site_fract_x
_atom_site_fract_y
_atom_site_fract_z
Nb1 0.3333 0.6667 0.3672
Cr1 0.0000 0.0000 0.5000
Pb1 0.0000 0.0000 0.0000
O1 0.0454 0.3338 0.6460
O2 0.3333 0.6667 0.0960
```

Output
The energy comes out at -7.820 eV per atom.


(5)
Computed, not measured: a relaxed structure of Nb2CrPb3O9 at the PBE with a Hubbard U level of DFT.

Cell and atoms, written as CIF:
```
data_Nb2CrPb3O9
_cell_length_a 5.7338
_cell_length_b 5.7338
_cell_length_c 7.0425
_cell_angle_alpha 90.00
_cell_angle_beta 90.00
_cell_angle_gamma 120.00
_space_group_name_H-M_alt 'P -3 m 1'
_space_group_IT_number 164
_space_group_name_Hall '-P 3 2"'
loop_
_atom_site_label
_atom_site_fract_x
_atom_site_fract_y
_atom_site_fract_z
Nb1 0.3333 0.6667 0.1697
Cr1 0.0000 0.0000 0.5000
Pb1 0.0000 0.0000 0.0000
Pb2 0.3333 0.6667 0.6445
O1 0.0000 0.5000 0.0000
O2 0.1663 0.3325 0.3354
```

Output
The energy comes out at -7.422 eV per atom. For the density of states at the Fermi level, the calculation gives 0.20 states/eV per atom.


(6)
Computed, not measured: a relaxed structure of NbCrPb2O6 at the PBE with a Hubbard U level of DFT.

Cell and atoms, written as CIF:
```
data_NbCrPb2O6
_cell_length_a 5.6755
_cell_length_b 5.6755
_cell_length_c 4.1266
_cell_angle_alpha 90.00
_cell_angle_beta 90.00
_cell_angle_gamma 90.00
_space_group_name_H-M_alt 'P 4 m m'
_space_group_IT_number 99
_space_group_name_Hall 'P 4 -2'
loop_
_atom_site_label
_atom_site_fract_x
_atom_site_fract_y
_atom_site_fract_z
Nb1 0.0000 0.0000 0.0000
Cr1 0.5000 0.5000 0.0319
Pb1 0.0000 0.5000 0.4709
O1 0.0000 0.0000 0.5330
O2 0.2472 0.2472 0.0494
O3 0.5000 0.5000 0.5358
```

Output
The energy comes out at -7.295 eV per atom. For the density of states at the Fermi level, the calculation gives 0.00 states/eV per atom.


(7)
Computed, not measured: a relaxed structure of PmNbCr2O8 at the PBE with a Hubbard U level of DFT.

Cell and atoms, written as CIF:
```
data_PmNbCr2O8
_cell_length_a 7.0175
_cell_length_b 7.0175
_cell_length_c 6.3007
_cell_angle_alpha 90.00
_cell_angle_beta 90.00
_cell_angle_gamma 90.00
_space_group_name_H-M_alt 'I -4 m 2'
_space_group_IT_number 119
_space_group_name_Hall 'I -4 -2'
loop_
_atom_site_label
_atom_site_fract_x
_atom_site_fract_y
_atom_site_fract_z
Pm1 0.0000 0.0000 0.0000
Nb1 0.0000 0.5000 0.2500
Cr1 0.0000 0.0000 0.5000
Cr2 0.0000 0.5000 0.7500
O1 0.0000 0.2004 0.3210
O2 0.0000 0.3288 0.9600
```

Output
The energy comes out at -7.910 eV per atom.


(8)
Computed, not measured: a relaxed structure of NbCrPtO2 at the PBE with a Hubbard U level of DFT.

Cell and atoms, written as CIF:
```
data_NbCrPtO2
_cell_length_a 3.6679
_cell_length_b 3.6679
_cell_length_c 5.2966
_cell_angle_alpha 90.00
_cell_angle_beta 90.00
_cell_angle_gamma 90.00
_space_group_name_H-M_alt 'P 4/m m m'
_space_group_IT_number 123
_space_group_name_Hall '-P 4 2'
loop_
_atom_site_label
_atom_site_fract_x
_atom_site_fract_y
_atom_site_fract_z
Nb1 0.0000 0.0000 0.0000
Cr1 0.5000 0.5000 0.5000
Pt1 0.5000 0.5000 0.0000
O1 0.0000 0.5000 0.5000
```

Output
As for the distance to the lowest polymorph of the same formula: 0.00 kJ per mole of atoms. The energy comes out at -6.812 eV per atom. For the density of states at the Fermi level, the calculation gives 0.98 states/eV per atom.


(9)
Computed, not measured: a relaxed structure of NbCrPtO2 at the PBE with a Hubbard U level of DFT.

Cell and atoms, written as CIF:
```
data_NbCrPtO2
_cell_length_a 3.9734
_cell_length_b 3.9734
_cell_length_c 5.2016
_cell_angle_alpha 90.00
_cell_angle_beta 90.00
_cell_angle_gamma 90.00
_space_group_name_H-M_alt 'P 4/m m m'
_space_group_IT_number 123
_space_group_name_Hall '-P 4 2'
loop_
_atom_site_label
_atom_site_fract_x
_atom_site_fract_y
_atom_site_fract_z
Nb1 0.0000 0.0000 0.0000
Cr1 0.5000 0.5000 0.0000
Pt1 0.0000 0.0000 0.5000
O1 0.0000 0.5000 0.5000
```

Output
As for the distance to the lowest polymorph of the same formula: 77.61 kJ per mole of atoms. The energy comes out at -6.007 eV per atom. For the density of states at the Fermi level, the calculation gives 0.81 states/eV per atom.


(10)
Computed, not measured: a relaxed structure of RbNbCrO6 at the PBE with a Hubbard U level of DFT.

Cell and atoms, written as CIF:
```
data_RbNbCrO6
_cell_length_a 5.2316
_cell_length_b 5.2316
_cell_length_c 6.2954
_cell_angle_alpha 90.00
_cell_angle_beta 90.00
_cell_angle_gamma 120.00
_space_group_name_H-M_alt 'P 3'
_space_group_IT_number 143
_space_group_name_Hall 'P 3'
loop_
_atom_site_label
_atom_site_fract_x
_atom_site_fract_y
_atom_site_fract_z
Rb1 0.0000 0.0000 0.0000
Nb1 0.3333 0.6667 0.4429
Cr1 0.6667 0.3333 0.5403
O1 0.4057 0.3803 0.3199
O2 0.4091 0.0194 0.6675
```

Output
The energy comes out at -7.111 eV per atom. For the density of states at the Fermi level, the calculation gives 0.00 states/eV per atom.


(11)
Computed, not measured: a relaxed structure of Rb2NbCrO6 at the PBE with a Hubbard U level of DFT.

Cell and atoms, written as CIF:
```
data_Rb2NbCrO6
_cell_length_a 8.0744
_cell_length_b 8.0744
_cell_length_c 8.0744
_cell_angle_alpha 90.00
_cell_angle_beta 90.00
_cell_angle_gamma 90.00
_space_group_name_H-M_alt 'F m -3 m'
_space_group_IT_number 225
_space_group_name_Hall '-F 4 2 3'
loop_
_atom_site_label
_atom_site_fract_x
_atom_site_fract_y
_atom_site_fract_z
Rb1 0.2500 0.2500 0.2500
Nb1 0.0000 0.0000 0.0000
Cr1 0.0000 0.0000 0.5000
O1 0.0000 0.0000 0.2521
```

Output
The energy comes out at -6.678 eV per atom. For the density of states at the Fermi level, the calculation gives 0.64 states/eV per atom.


(12)
Computed, not measured: a relaxed structure of NbCrRuO6 at the PBE with a Hubbard U level of DFT.

Cell and atoms, written as CIF:
```
data_NbCrRuO6
_cell_length_a 5.0908
_cell_length_b 5.0908
_cell_length_c 8.7962
_cell_angle_alpha 90.00
_cell_angle_beta 90.00
_cell_angle_gamma 120.00
_space_group_name_H-M_alt 'P -3 1 c'
_space_group_IT_number 163
_space_group_name_Hall '-P 3 2c'
loop_
_atom_site_label
_atom_site_fract_x
_atom_site_fract_y
_atom_site_fract_z
Nb1 0.3333 0.6667 0.2500
Cr1 0.3333 0.6667 0.7500
Ru1 0.0000 0.0000 0.0000
O1 0.0015 0.3305 0.1270
```

Output
The energy comes out at -8.015 eV per atom. For the density of states at the Fermi level, the calculation gives 0.46 states/eV per atom.


(13)
Computed, not measured: a relaxed structure of ScNbCrO6 at the PBE with a Hubbard U level of DFT.

Cell and atoms, written as CIF:
```
data_ScNbCrO6
_cell_length_a 5.0977
_cell_length_b 5.0977
_cell_length_c 9.2239
_cell_angle_alpha 90.00
_cell_angle_beta 90.00
_cell_angle_gamma 120.00
_space_group_name_H-M_alt 'P -3 1 c'
_space_group_IT_number 163
_space_group_name_Hall '-P 3 2c'
loop_
_atom_site_label
_atom_site_fract_x
_atom_site_fract_y
_atom_site_fract_z
Sc1 0.0000 0.0000 0.0000
Nb1 0.3333 0.6667 0.2500
Cr1 0.3333 0.6667 0.7500
O1 0.0103 0.3523 0.6338
```

Output
The energy comes out at -8.412 eV per atom.


(14)
Computed, not measured: a relaxed structure of SmNbCrO6 at the PBE with a Hubbard U level of DFT.

Cell and atoms, written as CIF:
```
data_SmNbCrO6
_cell_length_a 4.8678
_cell_length_b 4.8678
_cell_length_c 9.6548
_cell_angle_alpha 90.00
_cell_angle_beta 90.00
_cell_angle_gamma 90.00
_space_group_name_H-M_alt 'P 42 n m'
_space_group_IT_number 102
_space_group_name_Hall 'P 4n -2n'
loop_
_atom_site_label
_atom_site_fract_x
_atom_site_fract_y
_atom_site_fract_z
Sm1 0.0000 0.0000 0.0000
Nb1 0.0000 0.0000 0.3399
Cr1 0.0000 0.0000 0.6715
O1 0.1731 0.1731 0.5100
O2 0.2126 0.2126 0.8150
O3 0.2195 0.2195 0.1941
```

Output
The energy comes out at -8.193 eV per atom.


(15)
Computed, not measured: a relaxed structure of NbCr2SnO at the PBE with a Hubbard U level of DFT.

Cell and atoms, written as CIF:
```
data_NbCr2SnO
_cell_length_a 4.0873
_cell_length_b 4.0873
_cell_length_c 5.0830
_cell_angle_alpha 90.00
_cell_angle_beta 90.00
_cell_angle_gamma 90.00
_space_group_name_H-M_alt 'P 4/m m m'
_space_group_IT_number 123
_space_group_name_Hall '-P 4 2'
loop_
_atom_site_label
_atom_site_fract_x
_atom_site_fract_y
_atom_site_fract_z
Nb1 0.0000 0.0000 0.0000
Cr1 0.0000 0.5000 0.5000
Sn1 0.5000 0.5000 0.0000
O1 0.5000 0.5000 0.5000
```

Output
The energy comes out at -7.010 eV per atom. For the density of states at the Fermi level, the calculation gives 0.40 states/eV per atom.


(16)
Computed, not measured: a relaxed structure of NbCrSnO2 at the PBE with a Hubbard U level of DFT.

Cell and atoms, written as CIF:
```
data_NbCrSnO2
_cell_length_a 3.8021
_cell_length_b 3.8021
_cell_length_c 5.2838
_cell_angle_alpha 90.00
_cell_angle_beta 90.00
_cell_angle_gamma 90.00
_space_group_name_H-M_alt 'P 4/m m m'
_space_group_IT_number 123
_space_group_name_Hall '-P 4 2'
loop_
_atom_site_label
_atom_site_fract_x
_atom_site_fract_y
_atom_site_fract_z
Nb1 0.0000 0.0000 0.0000
Cr1 0.0000 0.0000 0.5000
Sn1 0.5000 0.5000 0.0000
O1 0.0000 0.5000 0.5000
```

Output
The energy comes out at -6.283 eV per atom. For the density of states at the Fermi level, the calculation gives 0.72 states/eV per atom.


(17)
Computed, not measured: a relaxed structure of SrNbCrSnO6 at the PBE with a Hubbard U level of DFT.

Cell and atoms, written as CIF:
```
data_SrNbCrSnO6
_cell_length_a 8.0136
_cell_length_b 8.0136
_cell_length_c 8.0136
_cell_angle_alpha 90.00
_cell_angle_beta 90.00
_cell_angle_gamma 90.00
_space_group_name_H-M_alt 'F -4 3 m'
_space_group_IT_number 216
_space_group_name_Hall 'F -4 2 3'
loop_
_atom_site_label
_atom_site_fract_x
_atom_site_fract_y
_atom_site_fract_z
Sr1 0.0000 0.0000 0.0000
Nb1 0.2500 0.2500 0.2500
Cr1 0.2500 0.2500 0.7500
Sn1 0.0000 0.0000 0.5000
O1 0.9997 0.2500 0.2500
```

Output
The energy comes out at -7.521 eV per atom. For the density of states at the Fermi level, the calculation gives 0.00 states/eV per atom.


(18)
Computed, not measured: a relaxed structure of Sr3Nb2CrO9 at the PBE with a Hubbard U level of DFT.

Cell and atoms, written as CIF:
```
data_Sr3Nb2CrO9
_cell_length_a 5.7020
_cell_length_b 5.7020
_cell_length_c 6.9935
_cell_angle_alpha 90.00
_cell_angle_beta 90.00
_cell_angle_gamma 120.00
_space_group_name_H-M_alt 'P -3 m 1'
_space_group_IT_number 164
_space_group_name_Hall '-P 3 2"'
loop_
_atom_site_label
_atom_site_fract_x
_atom_site_fract_y
_atom_site_fract_z
Sr1 0.0000 0.0000 0.0000
Sr2 0.3333 0.6667 0.6602
Nb1 0.3333 0.6667 0.1750
Cr1 0.0000 0.0000 0.5000
O1 0.0000 0.5000 0.0000
O2 0.1654 0.3309 0.3347
```

Output
The energy comes out at -7.863 eV per atom. For the density of states at the Fermi level, the calculation gives 0.17 states/eV per atom.


(19)
Computed, not measured: a relaxed structure of Sr4Nb3CrO12 at the PBE with a Hubbard U level of DFT.

Cell and atoms, written as CIF:
```
data_Sr4Nb3CrO12
_cell_length_a 8.1058
_cell_length_b 8.1058
_cell_length_c 8.1058
_cell_angle_alpha 90.00
_cell_angle_beta 90.00
_cell_angle_gamma 90.00
_space_group_name_H-M_alt 'I m -3 m'
_space_group_IT_number 229
_space_group_name_Hall '-I 4 2 3'
loop_
_atom_site_label
_atom_site_fract_x
_atom_site_fract_y
_atom_site_fract_z
Sr1 0.2500 0.2500 0.2500
Nb1 0.0000 0.0000 0.5000
Cr1 0.0000 0.0000 0.0000
O1 0.0000 0.0000 0.2496
O2 0.0000 0.2500 0.5000
```

Output
The energy comes out at -7.908 eV per atom. For the density of states at the Fermi level, the calculation gives 0.16 states/eV per atom.


(20)
Computed, not measured: a relaxed structure of SrNbCrO2 at the PBE with a Hubbard U level of DFT.

Cell and atoms, written as CIF:
```
data_SrNbCrO2
_cell_length_a 4.1280
_cell_length_b 4.1280
_cell_length_c 4.4966
_cell_angle_alpha 90.00
_cell_angle_beta 90.00
_cell_angle_gamma 90.00
_space_group_name_H-M_alt 'P 4/m m m'
_space_group_IT_number 123
_space_group_name_Hall '-P 4 2'
loop_
_atom_site_label
_atom_site_fract_x
_atom_site_fract_y
_atom_site_fract_z
Sr1 0.0000 0.0000 0.0000
Nb1 0.5000 0.5000 0.0000
Cr1 0.5000 0.5000 0.5000
O1 0.0000 0.5000 0.5000
```

Output
The energy comes out at -5.592 eV per atom. For the density of states at the Fermi level, the calculation gives 0.66 states/eV per atom.